VASP calculation (PBE+U) on an optimized crystal structure of CaVGaO4.

a = 6.141 Å, b = 6.324 Å, c = 8.743 Å
α = 90.00°, β = 90.00°, γ = 90.00°
Space group Imma (No. 74)
Unique sites:
Ca1 0.250 0.250 0.250
V1 0.000 0.000 0.000
Ga1 0.000 0.250 0.640
O1 0.000 0.011 0.770
O2 0.239 0.250 0.989

Computed properties:
Its total energy is -6.815 eV per atom. The value obtained for the magnetic moment is 2.0 μB per formula unit. The value obtained for the density is 4.4 g cm⁻³.